# Nd2PI

A geometry-optimized Nd2PI structure (PBE-GGA, Alexandria via LeMat-Bulk).

The structure in POSCAR format:
```
Nd2PI
1.0
-2.156 -1.514 -3.241
-1.426 -3.924 0.091
-7.818 0.669 2.196
Nd P I
2 1 1
Direct
0.064 0.064 0.807
0.269 0.269 0.194
0.668 0.668 0.997
0.499 0.499 0.502
```

Space group: R3m
E_form (uncorrected), meV per atom: -1371
Electronic total energy, eV per atom: -5.4945
DOS(E_F), states/eV per atom: 0.270